A relaxed structure of LiNiN2F, computed with PBE with a Hubbard U.

Values from the calculation:
The total energy is -3.448 eV/atom. As for the crystal system: tetragonal. The energy above the most stable polymorph in this dataset comes out at 0.704 eV/atom. As for the mass density: 3.82 g/cm3.

abc: 3.6342 3.6342 3.7118
angles: 90.00 90.00 90.00
Sites, in units of the cell vectors:
Li 0.0000 0.0000 0.0000
Ni 0.5000 0.5000 0.5000
N 0.0000 0.5000 0.0000
N 0.5000 0.0000 0.0000
F 0.0000 0.0000 0.5000

***

A relaxed structure of LiNiN2F, computed with PBE with a Hubbard U.

Values from the calculation:
The total energy is -4.152 eV/atom. As for the crystal system: tetragonal. The energy above the most stable polymorph in this dataset comes out at 0.000 eV/atom. As for the mass density: 2.89 g/cm3.

abc: 3.4420 3.4420 5.4594
angles: 90.00 90.00 90.00
Sites, in units of the cell vectors:
Li 0.0000 0.0000 0.0000
Ni 0.5000 0.5000 0.5000
N 0.0000 0.5000 0.5000
N 0.5000 0.0000 0.5000
F 0.5000 0.5000 0.0000

***

A relaxed structure of LiNiNF2, computed with PBE with a Hubbard U.

Values from the calculation:
The total energy is -3.661 eV/atom. As for the crystal system: tetragonal. The energy above the most stable polymorph in this dataset comes out at 0.487 eV/atom. As for the mass density: 3.79 g/cm3.

abc: 3.5490 3.5490 4.0927
angles: 90.00 90.00 90.00
Sites, in units of the cell vectors:
Li 0.0000 0.0000 0.0000
Ni 0.5000 0.5000 0.5000
N 0.0000 0.0000 0.5000
F 0.0000 0.5000 0.0000
F 0.5000 0.0000 0.0000

***

A relaxed structure of LiNiNF2, computed with PBE with a Hubbard U.

Values from the calculation:
The total energy is -4.147 eV/atom. As for the crystal system: tetragonal. The energy above the most stable polymorph in this dataset comes out at 0.000 eV/atom. As for the mass density: 3.13 g/cm3.

abc: 4.0493 4.0493 3.8007
angles: 90.00 90.00 90.00
Sites, in units of the cell vectors:
Li 0.0000 0.0000 0.0000
Ni 0.5000 0.5000 0.5000
N 0.5000 0.5000 0.0000
F 0.0000 0.5000 0.5000
F 0.5000 0.0000 0.5000